Arrangement A

Below is a relaxed structure of NbTcB2, with properties calculated at the PBE level.

```
NbTcB2
1.0
-1.350 1.600 3.372
-3.668 1.510 0.151
-2.824 -1.853 2.084
B Nb Tc
2 1 1
Cartesian
-5.881 0.943 4.206
-1.960 0.314 1.402
0.000 0.000 0.000
-3.921 0.629 2.804
```

Values from the calculation:
Space-group type: No. 225
DOS(E_F) (states/eV/f.u.): 2.25
Crystal system: cubic
Total magnetization (μB/atom): 0.000

---

Arrangement B

Below is a relaxed structure of NbTcB2, with properties calculated at the PBE level.

```
NbTcB2
1.0
-2.895 1.324 0.337
-2.473 -1.103 -1.708
-2.888 -3.286 3.305
Nb Tc B
1 1 2
Cartesian
-4.128 -1.533 0.967
0.000 0.000 0.000
-6.208 -2.348 1.505
-2.048 -0.718 0.429
```

Values from the calculation:
Space-group type: No. 166
DOS(E_F) (states/eV/f.u.): 3.13
Crystal system: trigonal
Total magnetization (μB/atom): 0.000

---

Arrangement C

Below is a relaxed structure of NbTcB2, with properties calculated at the PBE level.

```
NbTcB2
1.0
-0.125 2.228 -2.088
-4.124 1.272 1.604
2.712 3.836 3.931
Nb B Tc
2 4 2
Cartesian
-3.100 1.783 2.088
1.292 2.765 2.873
-1.398 0.578 0.700
1.874 5.060 3.050
-2.205 3.982 2.144
-1.199 2.853 3.116
-0.474 5.070 3.202
-0.686 2.799 0.791
```

Values from the calculation:
Space-group type: No. 26
DOS(E_F) (states/eV/f.u.): 2.33
Crystal system: orthorhombic
Total magnetization (μB/atom): 0.000

---

Arrangement D

Below is a relaxed structure of NbTcB2, with properties calculated at the PBE level.

```
NbTcB2
1.0
3.056 0.000 0.000
0.000 6.519 0.000
0.000 0.000 8.867
Nb B Tc
4 8 4
Cartesian
2.292 5.663 1.035
2.292 2.404 3.399
0.764 0.856 7.832
0.764 4.115 5.468
0.764 4.923 8.144
2.292 5.500 7.373
2.292 2.241 5.927
0.764 1.019 1.494
2.292 1.596 0.723
2.292 4.855 3.711
0.764 4.278 2.940
0.764 1.664 5.156
0.764 3.170 1.050
2.292 0.089 5.484
2.292 3.349 7.816
0.764 6.430 3.383
```

Values from the calculation:
Space-group type: No. 62
DOS(E_F) (states/eV/f.u.): 1.62
Crystal system: orthorhombic
Total magnetization (μB/atom): 0.000

---

arrangement C has the most favorable energy; the next structure is 65 meV/atom above.

---

Arrangement A

Below is a relaxed structure of ThNb2B6, with properties calculated at the PBE level.

```
ThNb2B6
1.0
-3.198 1.535 -1.350
-2.913 -4.037 2.309
1.022 4.600 2.812
Nb B Th
2 6 1
Cartesian
-0.290 1.721 2.644
-1.601 -1.158 2.476
-2.596 -0.614 0.115
-2.246 0.960 1.077
-0.927 3.794 1.175
-2.494 2.712 3.656
-1.250 2.342 0.287
-2.843 1.138 2.693
0.000 0.000 0.000
```

Values from the calculation:
Space-group type: No. 191
DOS(E_F) (states/eV/f.u.): 5.19
Crystal system: hexagonal
Total magnetization (μB/atom): 0.000

---

Arrangement B

Below is a relaxed structure of ThNb2B6, with properties calculated at the PBE level.

```
ThNb2B6
1.0
-0.049 0.895 -3.119
-5.614 1.217 -1.251
-0.154 5.877 0.001
B Nb Th
6 2 1
Cartesian
-2.618 6.873 -3.052
-3.199 1.117 -1.318
-4.675 2.019 -1.036
-0.338 3.559 -0.662
-1.093 5.076 -0.215
-5.480 4.431 -3.708
-0.903 1.400 -1.272
-4.914 6.589 -3.097
-2.909 3.995 -2.185
```

Values from the calculation:
Space-group type: No. 71
DOS(E_F) (states/eV/f.u.): 2.41
Crystal system: orthorhombic
Total magnetization (μB/atom): 0.000

---

arrangement B has the most favorable energy; the next structure is 120 meV/atom above.

---

Arrangement A

Below is a relaxed structure of Ti3NbB, with properties calculated at the PBE level.

```
Ti3NbB
1.0
-3.423 -2.441 0.962
2.313 -2.062 2.999
-1.238 2.896 2.946
Ti B Nb
3 1 1
Cartesian
-1.711 -1.221 0.481
-0.619 1.448 1.473
1.157 -1.031 1.500
0.000 0.000 0.000
-1.174 -0.803 3.453
```

Values from the calculation:
Space-group type: No. 221
DOS(E_F) (states/eV/f.u.): 12.02
Crystal system: cubic
Total magnetization (μB/atom): 0.300

---

Arrangement B

Below is a relaxed structure of Ti3NbB, with properties calculated at the PBE level.

```
Ti3NbB
1.0
4.700 0.000 0.000
0.000 4.700 0.000
0.000 0.000 4.700
B Ti Nb
1 3 1
Cartesian
2.350 2.350 2.350
0.000 2.350 0.000
0.000 0.000 2.350
2.350 0.000 0.000
0.000 0.000 0.000
```

Values from the calculation:
Space-group type: No. 221
DOS(E_F) (states/eV/f.u.): 7.44
Crystal system: cubic
Total magnetization (μB/atom): 0.150

---

arrangement A has the most favorable energy; the next structure is 1740 meV/atom above.